A geometry-optimized TaZn2Se structure. Source: Alexandria via LeMat-Bulk, functional PBE.

Lattice parameters (Å, degrees): 2.837 2.837 9.256 90.00 90.00 90.00
Sites, in units of the cell vectors:
Zn 0.000 0.000 0.963
Zn 0.000 0.000 0.537
Ta 0.500 0.500 0.750
Se 0.500 0.500 0.250

Results
* formation energy (no corrections): 0.196 eV/atom



A geometry-optimized ScCdMo3 structure. Source: Alexandria via LeMat-Bulk, functional PBE.

Lattice parameters (Å, degrees): 4.885 4.885 4.885 90.00 90.00 90.00
Sites, in units of the cell vectors:
Sc 0.500 0.500 0.500
Mo 0.000 0.500 0.000
Mo 0.000 0.000 0.500
Mo 0.500 0.000 0.000
Cd 0.000 0.000 0.000

Results
* energy above the lowest structure with this stoichiometry: 1.77 eV/f.u.
* ΔE_f: 2.16 eV per atom



A geometry-optimized InCuSn structure. Source: Alexandria via LeMat-Bulk, functional PBE.

Lattice parameters (Å, degrees): 13.082 5.958 3.301 90.00 90.00 90.00
Sites, in units of the cell vectors:
Sn 0.701 0.750 0.969
Sn 0.299 0.250 0.031
Sn 0.201 0.750 0.531
Sn 0.799 0.250 0.469
In 0.500 0.000 0.500
In 0.000 0.500 0.000
In 0.500 0.500 0.500
In 0.000 0.000 0.000
Cu 0.133 0.250 0.525
Cu 0.367 0.750 0.025
Cu 0.633 0.250 0.975
Cu 0.867 0.750 0.475

Results
* ΔE_f: 0.10 eV per atom



A geometry-optimized Nb2O5 structure. Source: Alexandria via LeMat-Bulk, functional PBE.

Lattice parameters (Å, degrees): 3.857 14.813 14.813 89.03 82.52 82.52
Sites, in units of the cell vectors:
O 0.206 0.589 0.000
O 0.347 0.722 0.585
O 0.068 0.585 0.278
O 0.933 0.567 0.567
O 0.500 0.144 0.856
O 0.209 0.721 0.860
O 0.070 0.861 0.000
O 0.356 0.144 0.144
O 0.351 0.438 0.859
O 0.932 0.415 0.722
O 0.794 0.000 0.411
O 0.932 0.722 0.415
O 0.069 0.721 0.140
O 0.069 0.140 0.721
O 0.500 0.567 0.433
O 0.791 0.140 0.279
O 0.211 0.141 0.438
O 0.070 0.000 0.861
O 0.791 0.279 0.140
O 0.931 0.279 0.860
O 0.347 0.585 0.722
O 0.789 0.859 0.562
O 0.209 0.860 0.721
O 0.206 0.000 0.589
O 0.930 0.139 0.000
O 0.653 0.415 0.278
O 0.794 0.411 0.000
O 0.351 0.859 0.438
O 0.931 0.860 0.279
O 0.644 0.856 0.856
O 0.500 0.856 0.144
O 0.068 0.278 0.585
O 0.067 0.433 0.433
O 0.211 0.438 0.141
O 0.930 0.000 0.139
O 0.649 0.141 0.562
O 0.649 0.562 0.141
O 0.500 0.433 0.567
O 0.789 0.562 0.859
O 0.653 0.278 0.415
Nb 0.131 0.869 0.869
Nb 0.266 0.869 0.599
Nb 0.135 0.599 0.131
Nb 0.000 0.869 0.131
Nb 0.865 0.869 0.401
Nb 0.869 0.131 0.131
Nb 0.865 0.401 0.869
Nb 0.734 0.401 0.131
Nb 0.000 0.400 0.600
Nb 0.400 0.600 0.600
Nb 0.266 0.599 0.869
Nb 0.600 0.400 0.400
Nb 0.000 0.131 0.869
Nb 0.000 0.600 0.400
Nb 0.734 0.131 0.401
Nb 0.135 0.131 0.599

Results
* formation energy (no corrections): -2.537 eV/atom
* energy above the lowest structure with this stoichiometry: 0.06 eV/f.u.



A geometry-optimized Mg2Pt2Au structure. Source: Alexandria via LeMat-Bulk, functional PBE.

Lattice parameters (Å, degrees): 7.670 7.670 2.897 90.00 90.00 90.00
Sites, in units of the cell vectors:
Pt 0.647 0.853 0.500
Pt 0.353 0.147 0.500
Pt 0.853 0.353 0.500
Pt 0.147 0.647 0.500
Mg 0.851 0.649 0.000
Mg 0.351 0.851 0.000
Mg 0.149 0.351 0.000
Mg 0.649 0.149 0.000
Au 0.500 0.500 0.000
Au 0.000 0.000 0.000

Results
* energy above the lowest structure with this stoichiometry: 0.43 eV/f.u.
* ΔE_f: -0.53 eV per atom



A geometry-optimized Ba3CuAu structure. Source: Alexandria via LeMat-Bulk, functional PBE.

Lattice parameters (Å, degrees): 6.323 6.323 6.323 90.00 90.00 90.00
Sites, in units of the cell vectors:
Ba 0.500 0.000 0.000
Ba 0.000 0.500 0.000
Ba 0.000 0.000 0.500
Au 0.000 0.000 0.000
Cu 0.500 0.500 0.500

Results
* energy above the lowest structure with this stoichiometry: 1.54 eV/f.u.
* ΔE_f: 0.01 eV per atom



A geometry-optimized TlCdSi structure. Source: Alexandria via LeMat-Bulk, functional PBE.

Lattice parameters (Å, degrees): 6.275 6.275 6.275 151.73 141.84 48.17
Sites, in units of the cell vectors:
Tl 0.674 0.674 0.000
Cd 0.971 0.971 0.000
Si 0.355 0.355 0.000

Results
* formation energy (no corrections): 0.389 eV/atom
* energy above the lowest structure with this stoichiometry: 0.09 eV/f.u.



A geometry-optimized GdPa2Mo structure. Source: Alexandria via LeMat-Bulk, functional PBE.

Lattice parameters (Å, degrees): 3.410 3.410 8.416 90.00 90.00 90.00
Sites, in units of the cell vectors:
Pa 0.000 0.000 0.792
Pa 0.000 0.000 0.208
Gd 0.500 0.500 0.500
Mo 0.500 0.500 0.000

Results
* energy above the lowest structure with this stoichiometry: 0.00 eV/f.u.
* ΔE_f: 0.20 eV per atom



A geometry-optimized NaSi structure. Source: Alexandria via LeMat-Bulk, functional PBE.

Lattice parameters (Å, degrees): 8.107 8.107 8.107 90.00 90.00 90.00
Sites, in units of the cell vectors:
Na 0.000 0.500 0.250
Na 0.750 0.000 0.500
Na 0.500 0.750 0.000
Na 0.000 0.500 0.750
Na 0.250 0.000 0.500
Na 0.500 0.250 0.000
Si 0.500 0.000 0.750
Si 0.500 0.000 0.250
Si 0.250 0.500 0.000
Si 0.000 0.750 0.500
Si 0.000 0.250 0.500
Si 0.750 0.500 0.000

Results
* formation energy (no corrections): 1.381 eV/atom
* energy above the lowest structure with this stoichiometry: 2.79 eV/f.u.



A geometry-optimized Hf7Zr2Sc2 structure. Source: Alexandria via LeMat-Bulk, functional PBE.

Lattice parameters (Å, degrees): 9.264 8.059 15.386 111.24 94.95 141.73
Sites, in units of the cell vectors:
Hf 0.406 0.046 0.191
Hf 0.524 0.442 0.407
Hf 0.594 0.954 0.809
Hf 0.520 0.448 0.905
Hf 0.073 0.634 0.772
Hf 0.411 0.043 0.686
Hf 0.962 0.248 0.549
Hf 0.927 0.366 0.228
Hf 0.480 0.552 0.095
Hf 0.026 0.741 0.961
Hf 0.974 0.259 0.039
Hf 0.589 0.957 0.314
Hf 0.476 0.558 0.593
Hf 0.038 0.752 0.451
Zr 0.859 0.828 0.815
Zr 0.143 0.167 0.682
Zr 0.141 0.172 0.185
Zr 0.857 0.833 0.318
Sc 0.708 0.384 0.062
Sc 0.292 0.616 0.938
Sc 0.702 0.375 0.549
Sc 0.298 0.625 0.451

Results
* ΔE_f: 0.09 eV per atom



A geometry-optimized Pm2MgAs4Ir3 structure. Source: Alexandria via LeMat-Bulk, functional PBE.

Lattice parameters (Å, degrees): 4.291 4.291 10.470 90.00 90.00 90.00
Sites, in units of the cell vectors:
As 0.500 0.500 0.000
As 0.000 0.500 0.354
As 0.500 0.000 0.646
As 0.000 0.000 0.000
Ir 0.000 0.000 0.500
Ir 0.500 0.000 0.881
Ir 0.000 0.500 0.119
Pm 0.000 0.500 0.761
Pm 0.500 0.000 0.239
Mg 0.500 0.500 0.500

Results
* ΔE_f: -0.75 eV per atom



A geometry-optimized PmAgBr2 structure. Source: Alexandria via LeMat-Bulk, functional PBE.

Lattice parameters (Å, degrees): 4.032 4.032 9.385 77.60 77.60 60.00
Sites, in units of the cell vectors:
Br 0.895 0.895 0.315
Br 0.105 0.105 0.685
Pm 0.000 0.000 0.000
Ag 0.500 0.500 0.500

Results
* formation energy (no corrections): -0.578 eV/atom



A geometry-optimized TbCd8Hg2 structure. Source: Alexandria via LeMat-Bulk, functional PBE.

Lattice parameters (Å, degrees): 5.915 7.517 7.517 64.42 74.13 74.13
Sites, in units of the cell vectors:
Cd 0.737 0.501 0.501
Cd 0.119 0.137 0.522
Cd 0.263 0.499 0.499
Cd 0.119 0.522 0.137
Cd 0.399 0.119 0.119
Cd 0.601 0.881 0.881
Cd 0.881 0.478 0.863
Cd 0.881 0.863 0.478
Tb 0.000 0.000 0.000
Hg 0.658 0.279 0.279
Hg 0.342 0.721 0.721

Results
* ΔE_f: 0.02 eV per atom



A geometry-optimized Tb2Zn17 structure. Source: Alexandria via LeMat-Bulk, functional PBE.

Lattice parameters (Å, degrees): 6.789 6.789 6.789 82.72 82.72 82.72
Sites, in units of the cell vectors:
Zn 0.000 0.297 0.703
Zn 0.000 0.000 0.500
Zn 0.162 0.648 0.648
Zn 0.838 0.352 0.352
Zn 0.000 0.703 0.297
Zn 0.352 0.352 0.838
Zn 0.297 0.000 0.703
Zn 0.500 0.000 0.000
Zn 0.648 0.648 0.162
Zn 0.703 0.000 0.297
Zn 0.000 0.500 0.000
Zn 0.100 0.100 0.100
Zn 0.900 0.900 0.900
Zn 0.352 0.838 0.352
Zn 0.703 0.297 0.000
Zn 0.297 0.703 0.000
Zn 0.648 0.162 0.648
Tb 0.665 0.665 0.665
Tb 0.335 0.335 0.335

Results
* energy above the lowest structure with this stoichiometry: 0.00 eV/f.u.
* ΔE_f: -0.24 eV per atom



A geometry-optimized La4NdBi2 structure. Source: Alexandria via LeMat-Bulk, functional PBE.

Lattice parameters (Å, degrees): 5.541 5.541 9.532 106.90 106.90 90.00
Sites, in units of the cell vectors:
Bi 0.365 0.365 0.729
Bi 0.635 0.635 0.271
La 0.000 0.500 0.000
La 0.500 0.000 0.000
La 0.822 0.822 0.645
La 0.178 0.178 0.355
Nd 0.000 0.000 0.000

Results
* ΔE_f: -0.02 eV per atom



A geometry-optimized Er3AgSn structure. Source: Alexandria via LeMat-Bulk, functional PBE.

Lattice parameters (Å, degrees): 4.547 6.758 9.129 90.00 90.00 90.00
Sites, in units of the cell vectors:
Sn 0.750 0.250 0.143
Sn 0.250 0.750 0.857
Ag 0.250 0.250 0.588
Ag 0.750 0.750 0.412
Er 0.750 0.506 0.687
Er 0.250 0.006 0.313
Er 0.750 0.750 0.074
Er 0.250 0.250 0.926
Er 0.250 0.494 0.313
Er 0.750 0.994 0.687

Results
* ΔE_f: -0.32 eV per atom



A geometry-optimized Ac2GaPd4Pb2 structure. Source: Alexandria via LeMat-Bulk, functional PBE.

Lattice parameters (Å, degrees): 6.669 6.669 6.669 95.25 117.02 117.02
Sites, in units of the cell vectors:
Pb 0.000 0.679 0.679
Pb 0.000 0.321 0.321
Pd 0.000 0.255 0.745
Pd 0.510 0.255 0.255
Pd 0.000 0.745 0.255
Pd 0.490 0.745 0.745
Ga 0.000 0.000 0.000
Ac 0.500 0.250 0.750
Ac 0.500 0.750 0.250

Results
* ΔE_f: -0.56 eV per atom



A geometry-optimized ThPdAu2 structure. Source: Alexandria via LeMat-Bulk, functional PBE.

Lattice parameters (Å, degrees): 4.225 5.463 7.948 90.00 90.00 112.80
Sites, in units of the cell vectors:
Th 0.067 0.133 0.250
Th 0.933 0.867 0.750
Pd 0.770 0.542 0.250
Pd 0.230 0.458 0.750
Au 0.633 0.265 0.555
Au 0.633 0.265 0.945
Au 0.367 0.735 0.055
Au 0.367 0.735 0.445

Results
* ΔE_f: -0.71 eV per atom